DFT (PBE-GGA) results for crystalline YOF3 at its relaxed geometry.

Values from the calculation:
Crystal system: cubic
Uncorrected energy, Ry per atom: -0.34884
N(E_F), states/eV per cell: 2.015
Uncorrected formation energy, eV/atom: -1.339
Calculated volume, Å³ per cell: 65.64
E above lowest polymorph, eV/atom: 1.341
SG: Pm-3m, No. 221

Lattice parameters (Å, degrees): 4.0339 4.0339 4.0339 90.00 90.00 90.00
With the nearest neighbours (Å) after each atom.
Atoms (fractional coordinates):
Y 0.0000 0.0000 0.0000  12 F 2.85
O 0.5000 0.5000 0.5000  6 F 2.02
F 0.0000 0.5000 0.5000  2 O 2.02
F 0.5000 0.0000 0.5000  2 O 2.02
F 0.5000 0.5000 0.0000  2 O 2.02

DFT (PBE-GGA) results for crystalline YO2F2 at its relaxed geometry.

Values from the calculation:
Crystal system: tetragonal
Uncorrected energy, Ry per atom: -0.38881
N(E_F), states/eV per cell: 1.213
Uncorrected formation energy, eV/atom: -1.265
Calculated volume, Å³ per cell: 57.12
SG: P4/mmm, No. 123

Lattice parameters (Å, degrees): 3.7938 3.7938 3.9685 90.00 90.00 90.00
With the nearest neighbours (Å) after each atom.
Atoms (fractional coordinates):
Y 0.0000 0.0000 0.0000  4 O 2.68, 8 F 2.75
O 0.5000 0.5000 0.0000  2 O 1.98
O 0.5000 0.5000 0.5000  4 F 1.90, 2 O 1.98
F 0.0000 0.5000 0.5000  2 O 1.90
F 0.5000 0.0000 0.5000  2 O 1.90

DFT (PBE-GGA) results for crystalline Y6O5F8 at its relaxed geometry.

Values from the calculation:
Crystal system: triclinic
Uncorrected energy, Ry per atom: -0.58851
N(E_F), states/eV per cell: 0.000
Uncorrected formation energy, eV/atom: -3.873
Calculated volume, Å³ per cell: 257.73
E above lowest polymorph, eV/atom: 0.000
SG: P1, No. 1

Lattice parameters (Å, degrees): 5.5176 5.5447 8.7552 74.33 87.96 89.33
With the nearest neighbours (Å) after each atom.
Atoms (fractional coordinates):
Y 0.0000 0.0000 0.0000  3 O 2.28-2.32, 5 F 2.34-2.52
Y 0.0044 0.6841 0.6644  4 O 2.23-2.35, 2 F 2.31-2.34
Y 0.0123 0.3365 0.3154  3 O 2.23-2.29, 3 F 2.23-2.45
Y 0.4090 0.1797 0.6505  4 O 2.23-2.30, 3 F 2.35-2.46
Y 0.4364 0.8036 0.3385  3 O 2.25-2.39, 5 F 2.35-2.46
Y 0.4438 0.5450 0.9639  3 O 2.20-2.32, 3 F 2.33-2.40
O 0.1933 0.5063 0.4937  4 Y 2.23-2.30
O 0.1997 0.0176 0.4810  4 Y 2.23-2.34
O 0.2005 0.3410 0.8326  4 Y 2.29-2.35
O 0.2023 0.6648 0.1536  4 Y 2.23-2.39
O 0.2257 0.8516 0.8189  4 Y 2.20-2.30
F 0.3028 0.1690 0.1525  4 Y 2.36-2.51
F 0.6501 0.8755 0.5502  3 Y 2.34-2.46, 2 F 2.51
F 0.6641 0.4241 0.4274  3 Y 2.23-2.46
F 0.6636 0.7492 0.1185  3 Y 2.35-2.37, 3 F 2.39-2.56, 1 O 2.59
F 0.6811 0.4147 0.7529  3 Y 2.31-2.49
F 0.7344 0.8933 0.8262  3 Y 2.34-2.54, 2 F 2.48-2.51
F 0.8096 0.3512 0.0492  3 Y 2.33-2.60, 2 F 2.45-2.56
F 0.8451 0.9842 0.2771  3 Y 2.28-2.52, 3 F 2.39-2.51

DFT (PBE-GGA) results for crystalline YOF at its relaxed geometry.

Values from the calculation:
Crystal system: trigonal
Uncorrected energy, Ry per atom: -0.60916
N(E_F), states/eV per cell: 0.000
Uncorrected formation energy, eV/atom: -3.857
Calculated volume, Å³ per cell: 81.28
SG: R-3m, No. 166

Lattice parameters (Å, degrees): 6.7533 6.7533 6.7533 33.00 33.00 33.00
With the nearest neighbours (Å) after each atom.
Atoms (fractional coordinates):
Y 0.2409 0.2409 0.2409  4 O 2.28, 4 F 2.46-2.47
Y 0.7591 0.7591 0.7591  4 O 2.28, 4 F 2.46-2.47
O 0.1217 0.1217 0.1217  4 Y 2.28
O 0.8783 0.8783 0.8783  4 Y 2.28
F 0.3700 0.3700 0.3700  4 Y 2.46-2.47, 3 F 2.62, 3 O 2.75
F 0.6300 0.6300 0.6300  4 Y 2.46-2.47, 3 F 2.62, 3 O 2.75

DFT (PBE-GGA) results for crystalline YOF at its relaxed geometry.

Values from the calculation:
Crystal system: orthorhombic
Uncorrected energy, Ry per atom: -0.60885
N(E_F), states/eV per cell: 0.000
Uncorrected formation energy, eV/atom: -3.853
Calculated volume, Å³ per cell: 170.16
SG: Pnma, No. 62

Lattice parameters (Å, degrees): 11.0844 3.7323 4.1130 90.00 90.00 90.00
With the nearest neighbours (Å) after each atom.
Atoms (fractional coordinates):
Y 0.1007 0.2500 0.2463  4 O 2.25-2.27, 3 F 2.36-2.42
Y 0.3993 0.7500 0.7463  4 O 2.25-2.27, 3 F 2.36-2.42
Y 0.6007 0.2500 0.2537  4 O 2.25-2.27, 3 F 2.36-2.42
Y 0.8993 0.7500 0.7537  4 O 2.25-2.27, 3 F 2.36-2.42
O 0.0161 0.2500 0.7445  4 Y 2.25-2.27
O 0.4839 0.7500 0.2445  4 Y 2.25-2.27
O 0.5161 0.2500 0.7555  4 Y 2.25-2.27
O 0.9839 0.7500 0.2555  4 Y 2.25-2.27
F 0.2254 0.7500 0.0775  3 Y 2.36-2.42
F 0.2746 0.2500 0.5775  3 Y 2.36-2.42
F 0.7254 0.7500 0.4225  3 Y 2.36-2.42
F 0.7746 0.2500 0.9225  3 Y 2.36-2.42

DFT (PBE-GGA) results for crystalline Y2OF2 at its relaxed geometry.

Values from the calculation:
Crystal system: tetragonal
Uncorrected energy, Ry per atom: -0.54131
N(E_F), states/eV per cell: 3.207
Uncorrected formation energy, eV/atom: -3.039
Calculated volume, Å³ per cell: 189.48
SG: P4/mbm, No. 127

Lattice parameters (Å, degrees): 6.5812 6.5812 4.3748 90.00 90.00 90.00
With the nearest neighbours (Å) after each atom.
Atoms (fractional coordinates):
Y 0.2073 0.2927 0.0000  2 F 2.19, 2 O 2.36
Y 0.2927 0.7927 0.0000  2 F 2.19, 2 O 2.36
Y 0.7073 0.2073 0.0000  2 F 2.19, 2 O 2.36
Y 0.7927 0.7073 0.0000  2 F 2.19, 2 O 2.36
O 0.0000 0.0000 0.0000  4 Y 2.36
O 0.5000 0.5000 0.0000  4 Y 2.36
F 0.2232 0.2768 0.5000  2 Y 2.19
F 0.2768 0.7768 0.5000  2 Y 2.19
F 0.7232 0.2232 0.5000  2 Y 2.19
F 0.7768 0.7232 0.5000  2 Y 2.19

DFT (PBE-GGA) results for crystalline YO2F2 at its relaxed geometry.

Values from the calculation:
Crystal system: tetragonal
Uncorrected energy, Ry per atom: -0.43697
N(E_F), states/eV per cell: 0.473
Uncorrected formation energy, eV/atom: -1.921
Calculated volume, Å³ per cell: 87.31
SG: P4/mmm, No. 123

Lattice parameters (Å, degrees): 4.3390 4.3390 4.6376 90.00 90.00 90.00
With the nearest neighbours (Å) after each atom.
Atoms (fractional coordinates):
Y 0.0000 0.0000 0.0000  4 F 2.17, 2 O 2.32
O 0.0000 0.0000 0.5000  2 Y 2.32
O 0.5000 0.5000 0.5000  4 O 3.07, 8 F 3.18
F 0.0000 0.5000 0.0000  2 Y 2.17
F 0.5000 0.0000 0.0000  2 Y 2.17

DFT (PBE-GGA) results for crystalline YO2F at its relaxed geometry.

Values from the calculation:
Crystal system: trigonal
Uncorrected energy, Ry per atom: -0.48331
N(E_F), states/eV per cell: 0.000
Uncorrected formation energy, eV/atom: -2.013
Calculated volume, Å³ per cell: 179.98
E above lowest polymorph, eV/atom: 0.273
SG: R-3m, No. 166

Lattice parameters (Å, degrees): 3.5640 3.5640 16.3609 90.00 90.00 120.00
With the nearest neighbours (Å) after each atom.
Atoms (fractional coordinates):
Y 0.0000 0.0000 0.0000  6 O 2.26
Y 0.3333 0.6667 0.6667  6 O 2.26
Y 0.6667 0.3333 0.3333  6 O 2.26
O 0.0000 0.0000 0.3906  1 F 1.79
O 0.0000 0.0000 0.6094  1 F 1.79
O 0.3333 0.6667 0.0573  1 F 1.79
O 0.3333 0.6667 0.2760  1 F 1.79
O 0.6667 0.3333 0.7240  1 F 1.79
O 0.6667 0.3333 0.9427  1 F 1.79
F 0.0000 0.0000 0.5000  2 O 1.79
F 0.3333 0.6667 0.1667  2 O 1.79
F 0.6667 0.3333 0.8333  2 O 1.79